This record from the Alexandria database describes a geometry-optimized Tm5Sb2 structure. The functional is PBE.

Cell: 4.485 4.459 19.462 Å, 90.00 96.62 90.00°
Fractional positions:
Tm  0.390  0.250  0.779
Tm  0.464  0.750  0.928
Tm  0.035  0.750  0.069
Tm  0.610  0.750  0.221
Tm  0.250  0.750  0.500
Tm  0.176  0.250  0.352
Tm  0.965  0.250  0.931
Tm  0.750  0.250  0.500
Tm  0.536  0.250  0.072
Tm  0.824  0.750  0.648
Sb  0.096  0.250  0.192
Sb  0.904  0.750  0.808
Sb  0.689  0.750  0.379
Sb  0.311  0.250  0.621

## Properties
Energy, eV per atom: -4.99
Uncorrected formation energy, eV/atom: -0.62
ρ, g/cm3: 9.3
V, Å³ per atom: 27.6
Space group: No. 63